VASP calculation (PBE) on a relaxed structure of LiYAl.

The energy above the most stable polymorph in this dataset comes out at 0.674 eV per atom. The value obtained for the total magnetization is 0.0 Bohr magnetons per cell. The value obtained for the formation enthalpy at 0 K is 43.8 kJ per mole of atoms.

Cell lengths 4.905, 4.905, 4.905 Å; angles 60.00, 60.00, 60.00 degrees
Positions (direct):
Li 0.000 0.000 0.000
Y 0.250 0.250 0.250
Al 0.500 0.500 0.500